[1]
Tb3Nd2SmS6: optimized geometry, PBE.

Calculated values
As for the crystal system: monoclinic. For the energy, the calculation gives -6.429 eV per atom.

The structure in CIF format:
```
data_Tb3Nd2SmS6
_chemical_formula_sum 'Tb6 Nd4 Sm2 S12'
_cell_length_a 17.409
_cell_length_b 3.965
_cell_length_c 8.036
_cell_angle_alpha 90.00
_cell_angle_beta 103.95
_cell_angle_gamma 90.00
_space_group_name_H-M_alt 'C 1 2/m 1'
_space_group_IT_number 12
loop_
_space_group_symop_operation_xyz
'x,y,z'
'-x,-y,-z'
'-x,y,-z'
'x,-y,z'
'x+1/2,y+1/2,z'
'-x+1/2,-y+1/2,-z'
'-x+1/2,y+1/2,-z'
'x+1/2,-y+1/2,z'
loop_
_atom_site_label
_atom_site_type_symbol
_atom_site_fract_x
_atom_site_fract_y
_atom_site_fract_z
_atom_site_occupancy
Tb1 Tb 0.000 0.000 0.000 1
Tb2 Tb 0.167 0.500 0.333 1
Nd1 Nd 0.167 0.500 0.834 1
Sm1 Sm 0.000 0.000 0.500 1
S1 S 0.003 0.500 0.246 1
S2 S 0.164 0.000 0.091 1
S3 S 0.168 0.000 0.575 1
```

[2]
HoErGaAu: optimized geometry, PBE.

Calculated values
As for the crystal system: orthorhombic. As for the formation energy: -0.731 eV/atom. For the energy above the most stable polymorph in this dataset, the calculation gives 0.000 eV per atom.

The structure in CIF format:
```
data_HoErGaAu
_chemical_formula_sum 'Ho2 Er2 Ga2 Au2'
_cell_length_a 4.512
_cell_length_b 3.753
_cell_length_c 11.082
_cell_angle_alpha 90.00
_cell_angle_beta 90.00
_cell_angle_gamma 90.00
_space_group_name_H-M_alt 'A m m 2'
_space_group_IT_number 38
loop_
_space_group_symop_operation_xyz
'x,y,z'
'-x,-y,z'
'-x,y,z'
'x,-y,z'
'x,y+1/2,z+1/2'
'-x,-y+1/2,z+1/2'
'-x,y+1/2,z+1/2'
'x,-y+1/2,z+1/2'
loop_
_atom_site_label
_atom_site_type_symbol
_atom_site_fract_x
_atom_site_fract_y
_atom_site_fract_z
_atom_site_occupancy
Ho1 Ho 0.000 0.000 0.000 1
Er1 Er 0.500 0.000 0.711 1
Ga1 Ga 0.000 0.000 0.273 1
Au1 Au 0.500 0.000 0.435 1
```

[3]
Re2RuPb: optimized geometry, PBE.

Calculated values
As for the crystal system: tetragonal. As for the formation energy: 1.050 eV/atom.

The structure in CIF format:
```
data_Re2RuPb
_chemical_formula_sum 'Re2 Ru1 Pb1'
_cell_length_a 4.723
_cell_length_b 4.723
_cell_length_c 3.002
_cell_angle_alpha 90.00
_cell_angle_beta 90.00
_cell_angle_gamma 90.00
_space_group_name_H-M_alt 'P 4/m m m'
_space_group_IT_number 123
_space_group_name_Hall '-P 4 2'
loop_
_atom_site_label
_atom_site_type_symbol
_atom_site_fract_x
_atom_site_fract_y
_atom_site_fract_z
_atom_site_occupancy
Re1 Re 0.000 0.500 0.000 1
Ru1 Ru 0.000 0.000 0.500 1
Pb1 Pb 0.500 0.500 0.500 1
```

[4]
NaLiMg2Pd: optimized geometry, PBE.

Calculated values
As for the crystal system: tetragonal. As for the formation energy: -0.155 eV/atom.

The structure in CIF format:
```
data_NaLiMg2Pd
_chemical_formula_sum 'Na1 Li1 Mg2 Pd1'
_cell_length_a 5.071
_cell_length_b 5.071
_cell_length_c 4.932
_cell_angle_alpha 90.00
_cell_angle_beta 90.00
_cell_angle_gamma 90.00
_space_group_name_H-M_alt 'P 4/m m m'
_space_group_IT_number 123
_space_group_name_Hall '-P 4 2'
loop_
_atom_site_label
_atom_site_type_symbol
_atom_site_fract_x
_atom_site_fract_y
_atom_site_fract_z
_atom_site_occupancy
Na1 Na 0.000 0.000 0.000 1
Li1 Li 0.500 0.500 0.000 1
Mg1 Mg 0.000 0.500 0.500 1
Pd1 Pd 0.500 0.500 0.500 1
```